A plane-wave DFT calculation with meta-GGA SCAN was carried out for KLaY2Pd at its PBEsol-relaxed geometry.

The crystal system is tetragonal. The formation energy is 3.0 eV per formula unit. The magnetization is 0.00 Bohr magnetons per cell.

The structure belongs to space group P4/mmm (No. 123); the cell edges are 5.8181, 5.8181 and 5.1446 Å and the angles 90.00°, 90.00° and 90.00°. The asymmetric unit holds K at (0.0000, 0.0000, 0.0000), La at (0.5000, 0.5000, 0.5000), Y at (0.0000, 0.5000, 0.5000) and Pd at (0.5000, 0.5000, 0.0000).